[1]
# Pm3Sm5Er3 | Alexandria | PBE-GGA | optimized geometry
# - size of the total moment (μB/f.u.) = 0.00
# - space group = P-62m, No. 189
# - theoretical density (g/cm3) = 7.400
# - energy relative to the elements (kJ/mol of atoms) = 31.29
data_Pm3Sm5Er3
_cell_length_a 3.467
_cell_length_b 11.234
_cell_length_c 11.234
_cell_angle_alpha 120.00
_cell_angle_beta 90.00
_cell_angle_gamma 90.00
_symmetry_space_group_name_H-M 'P 1'
_symmetry_Int_Tables_number 1
_symmetry_space_group_name_Hall 'P 1'
loop_
_atom_site_label
_atom_site_fract_x
_atom_site_fract_y
_atom_site_fract_z
Pm1 0.500 0.659 0.659
Pm2 0.500 0.000 0.341
Pm3 0.500 0.341 0.000
Sm1 0.500 0.333 0.667
Sm2 0.500 0.667 0.333
Sm3 0.500 0.161 0.161
Sm4 0.500 0.000 0.839
Sm5 0.500 0.839 0.000
Er1 0.000 0.406 0.406
Er2 0.000 0.594 0.000
Er3 0.000 0.000 0.594


[2]
# SiPtCl | Alexandria | PBE-GGA | optimized geometry
# - size of the total moment (μB/f.u.) = 0.00
# - space group = P3m1, No. 156
# - uncorrected energy (eV/atom) = -4.725
# - theoretical density (g/cm3) = 7.498
data_SiPtCl
_cell_length_a 3.542
_cell_length_b 3.542
_cell_length_c 5.272
_cell_angle_alpha 90.00
_cell_angle_beta 90.00
_cell_angle_gamma 120.00
_symmetry_space_group_name_H-M 'P 1'
_symmetry_Int_Tables_number 1
_symmetry_space_group_name_Hall 'P 1'
loop_
_atom_site_label
_atom_site_fract_x
_atom_site_fract_y
_atom_site_fract_z
Cl1 0.000 0.000 0.999
Pt1 0.667 0.333 0.393
Si1 0.333 0.667 0.607


[3]
# Np2TcC | Alexandria | PBE-GGA | optimized geometry
# - size of the total moment (μB/f.u.) = 0.00
# - space group = P4/mmm, No. 123
# - theoretical density (g/cm3) = 15.558
# - energy relative to the elements (kJ/mol of atoms) = 29.85
data_Np2TcC
_cell_length_a 3.262
_cell_length_b 3.262
_cell_length_c 5.856
_cell_angle_alpha 90.00
_cell_angle_beta 90.00
_cell_angle_gamma 90.00
_symmetry_space_group_name_H-M 'P 1'
_symmetry_Int_Tables_number 1
_symmetry_space_group_name_Hall 'P 1'
loop_
_atom_site_label
_atom_site_fract_x
_atom_site_fract_y
_atom_site_fract_z
Np1 0.000 0.000 0.801
Np2 0.000 0.000 0.199
C1 0.500 0.500 0.000
Tc1 0.500 0.500 0.500


[4]
# TaAlRu2 | Alexandria | PBE-GGA | optimized geometry
# - size of the total moment (μB/f.u.) = 0.00
# - space group = P4mm, No. 99
# - theoretical density (g/cm3) = 11.238
# - energy relative to the elements (kJ/mol of atoms) = -18.57
data_TaAlRu2
_cell_length_a 2.828
_cell_length_b 2.828
_cell_length_c 7.575
_cell_angle_alpha 90.00
_cell_angle_beta 90.00
_cell_angle_gamma 90.00
_symmetry_space_group_name_H-M 'P 1'
_symmetry_Int_Tables_number 1
_symmetry_space_group_name_Hall 'P 1'
loop_
_atom_site_label
_atom_site_fract_x
_atom_site_fract_y
_atom_site_fract_z
Ru1 0.000 0.000 0.000
Ru2 0.500 0.500 0.224
Al1 0.500 0.500 0.772
Ta1 0.000 0.000 0.505


[5]
# CaCrSe2Br | Alexandria | PBE-GGA | optimized geometry
# - size of the total moment (μB/f.u.) = 3.07
# - space group = P4/mmm, No. 123
# - uncorrected energy (eV/atom) = -4.087
# - theoretical density (g/cm3) = 3.283
data_CaCrSe2Br
_cell_length_a 5.543
_cell_length_b 5.543
_cell_length_c 5.432
_cell_angle_alpha 90.00
_cell_angle_beta 90.00
_cell_angle_gamma 90.00
_symmetry_space_group_name_H-M 'P 1'
_symmetry_Int_Tables_number 1
_symmetry_space_group_name_Hall 'P 1'
loop_
_atom_site_label
_atom_site_fract_x
_atom_site_fract_y
_atom_site_fract_z
Cr1 0.500 0.500 0.500
Ca1 0.000 0.000 0.000
Se1 0.000 0.500 0.000
Se2 0.500 0.000 0.000
Br1 0.000 0.000 0.500


[6]
# Pm2PPt3 | Alexandria | PBE-GGA | optimized geometry
# - size of the total moment (μB/f.u.) = 0.00
# - space group = Fmmm, No. 69
# - theoretical density (g/cm3) = 11.860
# - energy relative to the elements (kJ/mol of atoms) = -112.90
data_Pm2PPt3
_cell_length_a 5.829
_cell_length_b 5.829
_cell_length_c 8.465
_cell_angle_alpha 108.13
_cell_angle_beta 108.13
_cell_angle_gamma 95.51
_symmetry_space_group_name_H-M 'P 1'
_symmetry_Int_Tables_number 1
_symmetry_space_group_name_Hall 'P 1'
loop_
_atom_site_label
_atom_site_fract_x
_atom_site_fract_y
_atom_site_fract_z
Pm1 0.250 0.750 0.500
Pm2 0.762 0.762 0.000
Pm3 0.750 0.250 0.500
Pm4 0.238 0.238 0.000
P1 0.666 0.666 0.331
P2 0.334 0.334 0.669
Pt1 0.352 0.823 0.176
Pt2 0.177 0.648 0.824
Pt3 0.648 0.177 0.824
Pt4 0.823 0.352 0.176
Pt5 0.177 0.177 0.354
Pt6 0.823 0.823 0.646


[7]
# LiSeIN2 | Alexandria | PBE-GGA | optimized geometry
# - size of the total moment (μB/f.u.) = 5.31
# - space group = P4/mmm, No. 123
# - uncorrected energy (eV/atom) = -3.036
# - theoretical density (g/cm3) = 3.600
data_LiSeIN2
_cell_length_a 4.191
_cell_length_b 4.191
_cell_length_c 6.322
_cell_angle_alpha 90.00
_cell_angle_beta 90.00
_cell_angle_gamma 90.00
_symmetry_space_group_name_H-M 'P 1'
_symmetry_Int_Tables_number 1
_symmetry_space_group_name_Hall 'P 1'
loop_
_atom_site_label
_atom_site_fract_x
_atom_site_fract_y
_atom_site_fract_z
I1 0.000 0.000 0.500
Li1 0.000 0.000 0.000
Se1 0.500 0.500 0.500
N1 0.000 0.500 0.000
N2 0.500 0.000 0.000


[8]
# YAl2Fe | Alexandria | PBE-GGA | optimized geometry
# - size of the total moment (μB/f.u.) = 1.43
# - space group = Imm2, No. 44
# - theoretical density (g/cm3) = 4.768
# - energy relative to the elements (kJ/mol of atoms) = -5.78
data_YAl2Fe
_cell_length_a 4.604
_cell_length_b 4.604
_cell_length_c 4.604
_cell_angle_alpha 119.90
_cell_angle_beta 119.75
_cell_angle_gamma 90.31
_symmetry_space_group_name_H-M 'P 1'
_symmetry_Int_Tables_number 1
_symmetry_space_group_name_Hall 'P 1'
loop_
_atom_site_label
_atom_site_fract_x
_atom_site_fract_y
_atom_site_fract_z
Y1 0.250 0.750 0.500
Fe1 0.501 0.501 0.000
Al1 0.999 0.999 0.000
Al2 0.750 0.250 0.500


| no. | calculated volume (Å³ per atom) | N(E_F) (states/eV per cell) |
| --- | --- | --- |
| 1 | 34.4 | 17.33 |
| 2 | 19.1 | 1.18 |
| 3 | 15.6 | 5.59 |
| 4 | 15.1 | 3.38 |
| 5 | 33.4 | 3.99 |
| 6 | 21.1 | 4.83 |
| 7 | 22.2 | 3.72 |
| 8 | 17.3 | 4.03 |